Record 1
4
Lattice="4.4512 0.0000 0.0000 2.2256 3.8548 0.0000 2.2256 1.2849 3.6344" Properties=species:S:1:pos:R:3 comment="Li2ZnCr PBE relaxed" crystal_system=cubic e_form_ev_per_atom=0.2150 spacegroup=F-43m relative_energy_mev_per_atom=23 pbc="T T T"
Cr 4.4512 2.5699 1.8172
Li 0.0000 0.0000 0.0000
Li 6.6768 3.8548 2.7258
Zn 2.2256 1.2849 0.9086

=====

Record 2
3
Lattice="4.7095 0.0060 0.0014 2.6342 3.9039 -0.0014 -3.6722 -1.9543 2.2080" Properties=species:S:1:pos:R:3 comment="BeOsSe PBE relaxed" crystal_system=tetragonal spacegroup=I4mm e_form_raw_ev_per_atom=0.40 relative_energy_mev_per_atom=55 pbc="T T T"
Be 7.2132 3.8405 0.0000
Os 2.6340 1.4024 0.0000
Se 4.8402 2.5770 0.0000

=====

Record 3
4
Lattice="5.0663 -1.6104 2.7050 -1.4428 5.1166 -2.7050 0.0883 -3.7168 4.6643" Properties=species:S:1:pos:R:3 comment="HfMgCu2 PBE relaxed" crystal_system=orthorhombic e_form_ev_per_atom=0.6041 spacegroup=Immm pbc="T T T"
Hf 2.5773 -2.6636 3.6847
Mg 0.0000 0.0000 0.0000
Cu 3.8765 -4.0062 5.5420
Cu 1.2782 -1.3210 1.8273

=====

Record 4
9
Lattice="4.0507 0.0000 0.0000 0.0000 9.2260 0.0000 0.0000 -4.6130 7.9899" Properties=species:S:1:pos:R:3 comment="Sr3Tl2InPb3 PBE relaxed" crystal_system=hexagonal e_form_ev_per_atom=-0.3454 spacegroup=P-62m pbc="T T T"
Sr 0.0000 2.8522 4.9401
Sr 0.0000 -1.7608 3.0498
Sr 0.0000 3.5216 0.0000
Tl 2.0253 4.6130 2.6633
Tl 2.0253 0.0000 5.3266
In 0.0000 0.0000 0.0000
Pb 2.0253 6.7291 0.0000
Pb 2.0253 -3.3645 5.8275
Pb 2.0253 1.2484 2.1624